! Rb3BeSe, single point on PBEsol structure, DFT meta-GGA SCAN; values from VASP
&SYSTEM
  ibrav = 0, nat = 5, ntyp = 3
/
ATOMIC_SPECIES
Rb 85.47 Rb.upf
Se 78.96 Se.upf
Be 9.01 Be.upf
CELL_PARAMETERS angstrom
-3.747 -3.423 3.176
3.923 -4.517 -0.241
2.534 1.930 5.070
ATOMIC_POSITIONS crystal
Rb 0.500 0.000 0.000
Rb 0.000 0.000 0.500
Rb 0.000 0.500 0.000
Se 0.500 0.500 0.500
Be 0.000 0.000 0.000
! SG: Pm-3m (221)
! Raw formation energy: 1.185 eV/f.u.
! Crystal system: cubic
! Raw total energy: -17.093 eV/atom

! Rb2BeSe, single point on PBEsol structure, DFT meta-GGA SCAN; values from VASP
&SYSTEM
  ibrav = 0, nat = 4, ntyp = 3
/
ATOMIC_SPECIES
Rb 85.47 Rb.upf
Se 78.96 Se.upf
Be 9.01 Be.upf
CELL_PARAMETERS angstrom
-3.870 3.273 2.556
-4.180 2.352 -3.037
-5.333 -1.851 0.600
ATOMIC_POSITIONS crystal
Rb 0.750 0.750 0.750
Rb 0.250 0.250 0.250
Se 0.500 0.500 0.500
Be 0.000 0.000 0.000
! SG: Fm-3m (225)
! Raw formation energy: -0.350 eV/f.u.
! Crystal system: cubic
! Raw total energy: -16.565 eV/atom